Computed, not measured: a geometry-optimized NiPt4Rh structure at the GGA-PBE level of DFT.

abc: 6.6630 6.6630 4.2020
angles: 90.00 90.00 104.81
Element x y z (fractional)
Ni: 0.0620 0.9380 0.7500
Ni: 0.9380 0.0620 0.2500
Pt: 0.0062 0.6688 0.2500
Pt: 0.2570 0.4077 0.2500
Pt: 0.3312 0.9938 0.2500
Pt: 0.4077 0.2570 0.7500
Pt: 0.5923 0.7430 0.2500
Pt: 0.6688 0.0062 0.7500
Pt: 0.7430 0.5923 0.7500
Pt: 0.9938 0.3312 0.7500
Rh: 0.3069 0.6931 0.7500
Rh: 0.6931 0.3069 0.2500

Calculated values
* ρ: 17.34 g cm⁻³
* total DFT energy (no corrections): -73.73 eV per cell
* size of the total moment: 1.97 μB/f.u.
* energy above the most stable polymorph in this dataset: 0.00 eV/f.u.
* calculated formation energy: 0.0721 eV per atom

Computed, not measured: a geometry-optimized Ni4Pt4Rh structure at the GGA-PBE level of DFT.

abc: 6.0282 6.0282 6.0282
angles: 95.51 95.51 143.89
Element x y z (fractional)
Ni: 0.1648 0.1648 0.3297
Ni: 0.1648 0.8352 0.0000
Ni: 0.8352 0.1648 0.0000
Ni: 0.8352 0.8352 0.6703
Pt: 0.1758 0.5000 0.6758
Pt: 0.5000 0.1758 0.6758
Pt: 0.5000 0.8242 0.3242
Pt: 0.8242 0.5000 0.3242
Rh: 0.5000 0.5000 0.0000

Calculated values
* ρ: 15.13 g cm⁻³
* total DFT energy (no corrections): -55.11 eV per cell
* size of the total moment: 5.33 μB/f.u.
* energy above the most stable polymorph in this dataset: 0.00 eV/f.u.
* calculated formation energy: -0.0524 eV per atom

Computed, not measured: a geometry-optimized Ni3Pt7Rh structure at the GGA-PBE level of DFT.

abc: 6.1552 6.1552 5.0453
angles: 106.51 106.51 94.61
Element x y z (fractional)
Ni: 0.0000 0.0000 0.0000
Ni: 0.2285 0.7715 0.5000
Ni: 0.7715 0.2285 0.5000
Pt: 0.0666 0.5873 0.8155
Pt: 0.1835 0.1835 0.5429
Pt: 0.4127 0.9334 0.1845
Pt: 0.5000 0.5000 0.5000
Pt: 0.5873 0.0666 0.8155
Pt: 0.8165 0.8165 0.4571
Pt: 0.9334 0.4127 0.1845
Rh: 0.5000 0.5000 0.0000

Calculated values
* ρ: 15.79 g cm⁻³
* total DFT energy (no corrections): -64.11 eV per cell
* size of the total moment: 0.86 μB/f.u.
* calculated formation energy: 0.2612 eV per atom

Computed, not measured: a geometry-optimized Ni6Pt8Rh structure at the GGA-PBE level of DFT.

abc: 9.5246 9.5246 2.7439
angles: 90.00 90.00 120.00
Element x y z (fractional)
Ni: 0.0907 0.4802 0.2438
Ni: 0.3895 0.9093 0.2438
Ni: 0.4802 0.3895 0.7562
Ni: 0.5198 0.6105 0.2438
Ni: 0.6105 0.0907 0.7562
Ni: 0.9093 0.5198 0.7562
Pt: 0.0840 0.7783 0.2687
Pt: 0.2217 0.3057 0.2687
Pt: 0.3057 0.0840 0.7313
Pt: 0.3333 0.6667 0.7430
Pt: 0.6667 0.3333 0.2570
Pt: 0.6943 0.9160 0.2687
Pt: 0.7783 0.6943 0.7313
Pt: 0.9160 0.2217 0.7313
Rh: 0.0000 0.0000 0.0000

Calculated values
* ρ: 15.53 g cm⁻³
* total DFT energy (no corrections): -88.26 eV per cell
* size of the total moment: 8.19 μB/f.u.
* calculated formation energy: 0.1404 eV per atom